Material: SiTcIr2
Method: DFT, PBE-GGA
State: relaxed

Unit cell a=4.623 b=4.623 c=2.761 alpha=90.00 beta=90.00 gamma=107.84
Fractional coordinates of all 4 atoms:
Si (0.000, 0.000, 0.000)
Tc (0.500, 0.500, 0.000)
Ir (0.000, 0.500, 0.500)
Ir (0.500, 0.000, 0.500)

Results
* space-group type: No. 65
* energy: -34.22 eV/cell
* total moment: 0.0 Bohr magnetons per cell